{"formula": "CaZr2W", "functional": "PBE-GGA", "state": "relaxed", "ef_mev_per_atom": 581, "mass_density_g_cm3": 7.7, "e_tot_ev_per_atom": -7.432, "cell": [[3.210, -5.141, 0.000], [3.210, 5.141, 0.000], [-1.111, 0.000, 2.651]], "species": ["Ca", "Zr", "Zr", "W"], "fractional_positions": [[0.000, 0.000, 0.000], [0.000, 0.500, 0.500], [0.500, 0.000, 0.500], [0.500, 0.500, 0.000]]}